(1)
A relaxed ZrB3O crystal, computed with PBE.

Computed properties:
Spin magnetization in μB per cell: 1.808
Total DFT energy (no corrections) in eV/atom: -4.27
Space-group type: Pm-3m (221)
Energy above the most stable polymorph in this dataset in meV/atom: 1535
N(E_F) in states/eV per atom: 1.24

Cell: 4.5714 4.5714 4.5714 Å, 90.00 90.00 90.00°
Closest atoms and distances in Å follow each position.
Atoms (fractional coordinates):
Zr 0.0000 0.0000 0.0000  6 B 2.29
B 0.0000 0.0000 0.5000  2 Zr 2.29
B 0.0000 0.5000 0.0000  2 Zr 2.29
B 0.5000 0.0000 0.0000  2 Zr 2.29
O 0.5000 0.5000 0.5000  12 B 3.23

(2)
A relaxed ZrB3O crystal, computed with PBE.

Computed properties:
Spin magnetization in μB per cell: 0.000
Total DFT energy (no corrections) in eV/atom: -5.80
Space-group type: Pm-3m (221)
Energy above the most stable polymorph in this dataset in meV/atom: 0
N(E_F) in states/eV per atom: 0.79

Cell: 3.6983 3.6983 3.6983 Å, 90.00 90.00 90.00°
Closest atoms and distances in Å follow each position.
Atoms (fractional coordinates):
Zr 0.0000 0.0000 0.0000  12 B 2.62
B 0.0000 0.5000 0.5000  2 O 1.85
B 0.5000 0.0000 0.5000  2 O 1.85
B 0.5000 0.5000 0.0000  2 O 1.85
O 0.5000 0.5000 0.5000  6 B 1.85

(3)
A relaxed ZrBO crystal, computed with PBE.

Computed properties:
Spin magnetization in μB per cell: 0.000
Total DFT energy (no corrections) in eV/atom: -8.26
Space-group type: C2/m (12)
N(E_F) in states/eV per atom: 0.41

Cell: 3.5919 3.5919 6.9152 Å, 93.95 93.95 55.06°
Closest atoms and distances in Å follow each position.
Atoms (fractional coordinates):
Zr 0.2090 0.2090 0.2311  3 O 2.10-2.34
Zr 0.7910 0.7910 0.7689  3 O 2.10-2.34
B 0.2478 0.7522 0.5000  2 B 1.65-1.68
B 0.7522 0.2478 0.5000  2 B 1.65-1.68
O 0.1455 0.1455 0.8871  3 Zr 2.10-2.34
O 0.8545 0.8545 0.1129  3 Zr 2.10-2.34

(4)
A relaxed ZrBO4 crystal, computed with PBE.

Computed properties:
Spin magnetization in μB per cell: 2.034
Total DFT energy (no corrections) in eV/atom: -7.88
Space-group type: P2_1/c (14)
N(E_F) in states/eV per atom: 0.27

Cell: 6.5109 3.3857 6.6509 Å, 90.00 102.08 90.00°
Closest atoms and distances in Å follow each position.
Atoms (fractional coordinates):
Zr 0.0000 0.0000 0.0000  6 O 2.08-2.28
Zr 0.0000 0.5000 0.5000  6 O 2.08-2.28
B 0.5000 0.0000 0.5000  2 O 1.27
B 0.5000 0.5000 0.0000  2 O 1.27
O 0.1082 0.0298 0.6955  3 Zr 2.08-2.28
O 0.1082 0.4702 0.1955  3 Zr 2.08-2.28
O 0.3529 0.7337 0.0201  1 B 1.27
O 0.3529 0.7663 0.5201  1 B 1.27
O 0.6471 0.2337 0.4799  1 B 1.27
O 0.6471 0.2663 0.9799  1 B 1.27
O 0.8918 0.5298 0.8045  3 Zr 2.08-2.28
O 0.8918 0.9702 0.3045  3 Zr 2.08-2.28

(5)
A relaxed ZrBO2 crystal, computed with PBE.

Computed properties:
Spin magnetization in μB per cell: 0.000
Total DFT energy (no corrections) in eV/atom: -7.83
Space-group type: R-3m (166)
N(E_F) in states/eV per atom: 0.47

Cell: 6.0950 6.0950 6.0950 Å, 28.47 28.47 28.47°
Closest atoms and distances in Å follow each position.
Atoms (fractional coordinates):
Zr 0.0000 0.0000 0.0000  6 O 2.36
B 0.5000 0.5000 0.5000  2 O 1.32
O 0.4245 0.4245 0.4245  1 B 1.32
O 0.5755 0.5755 0.5755  1 B 1.32

(6)
A relaxed Zr2BO crystal, computed with PBE.

Computed properties:
Spin magnetization in μB per cell: 0.000
Total DFT energy (no corrections) in eV/atom: -8.62
Space-group type: R3m (160)
Energy above the most stable polymorph in this dataset in meV/atom: 0
N(E_F) in states/eV per atom: 0.74

Cell: 6.1503 6.1503 6.1503 Å, 31.27 31.27 31.27°
Closest atoms and distances in Å follow each position.
Atoms (fractional coordinates):
Zr 0.0000 0.0000 0.0000  3 B 2.36, 3 O 2.51
Zr 0.1787 0.1787 0.1787  3 B 2.33, 3 O 2.44
B 0.5882 0.5882 0.5882  6 Zr 2.33-2.36
O 0.7591 0.7591 0.7591  6 Zr 2.44-2.51

(7)
A relaxed Zr2BO crystal, computed with PBE.

Computed properties:
Spin magnetization in μB per cell: 0.000
Total DFT energy (no corrections) in eV/atom: -7.94
Space-group type: Fm-3m (225)
Energy above the most stable polymorph in this dataset in meV/atom: 677
N(E_F) in states/eV per atom: 0.49

Cell: 4.2074 4.2074 4.2074 Å, 60.00 60.00 60.00°
Closest atoms and distances in Å follow each position.
Atoms (fractional coordinates):
Zr 0.2500 0.2500 0.2500  4 O 2.58, 4 B 2.58
Zr 0.7500 0.7500 0.7500  4 O 2.58, 4 B 2.58
B 0.0000 0.0000 0.0000  8 Zr 2.58
O 0.5000 0.5000 0.5000  8 Zr 2.58

(8)
A relaxed ZrBO2 crystal, computed with PBE.

Computed properties:
Spin magnetization in μB per cell: 2.000
Total DFT energy (no corrections) in eV/atom: -7.17
Space-group type: I-42d (122)
N(E_F) in states/eV per atom: 0.23

Cell: 6.3279 6.3279 6.3279 Å, 124.00 124.00 83.20°
Closest atoms and distances in Å follow each position.
Atoms (fractional coordinates):
Zr 0.0000 0.0000 0.0000  4 O 1.98
Zr 0.7500 0.2500 0.5000  4 O 1.98
B 0.2500 0.7500 0.5000  4 O 3.07
B 0.5000 0.5000 0.0000  4 O 3.07
O 0.3750 0.2196 0.3446  2 Zr 1.98
O 0.7804 0.1250 0.1554  2 Zr 1.98
O 0.8750 0.0304 0.6554  2 Zr 1.98
O 0.9696 0.6250 0.8446  2 Zr 1.98

(9)
A relaxed ZrB2O crystal, computed with PBE.

Computed properties:
Spin magnetization in μB per cell: 0.000
Total DFT energy (no corrections) in eV/atom: -6.50
Space-group type: I-42d (122)
N(E_F) in states/eV per atom: 0.60

Cell: 4.8914 4.8914 4.8914 Å, 113.65 113.65 101.40°
Closest atoms and distances in Å follow each position.
Atoms (fractional coordinates):
Zr 0.0000 0.0000 0.0000  8 B 2.49-2.78
Zr 0.7500 0.2500 0.5000  8 B 2.49-2.78
B 0.2395 0.1250 0.6145  2 O 1.71
B 0.3750 0.7605 0.8855  2 O 1.71
B 0.5105 0.6250 0.3855  2 O 1.71
B 0.8750 0.4895 0.1145  2 O 1.71
O 0.2500 0.7500 0.5000  4 B 1.71
O 0.5000 0.5000 0.0000  4 B 1.71

(10)
A relaxed ZrBO2 crystal, computed with PBE.

Computed properties:
Spin magnetization in μB per cell: 0.000
Total DFT energy (no corrections) in eV/atom: -7.17
Space-group type: R-3m (166)
N(E_F) in states/eV per atom: 0.38

Cell: 6.3889 6.3889 6.3889 Å, 24.09 24.09 24.09°
Closest atoms and distances in Å follow each position.
Atoms (fractional coordinates):
Zr 0.0000 0.0000 0.0000  2 O 2.23
B 0.5000 0.5000 0.5000  6 O 1.77
O 0.1200 0.1200 0.1200  3 B 1.77
O 0.8800 0.8800 0.8800  3 B 1.77

(11)
A relaxed BOs crystal, computed with PBE.

Computed properties:
Spin magnetization in μB per cell: 0.000
Total DFT energy (no corrections) in eV/atom: -8.73
Space-group type: Cmcm (63)
Energy of formation from the pure elements in meV per atom: 223
N(E_F) in states/eV per atom: 0.50

Cell: 3.6885 3.6885 4.2483 Å, 90.00 90.00 121.44°
Closest atoms and distances in Å follow each position.
Atoms (fractional coordinates):
B 0.1244 0.8756 0.7500  5 Os 2.10-2.19
B 0.8756 0.1244 0.2500  5 Os 2.10-2.19
Os 0.2074 0.7926 0.2500  5 B 2.10-2.19
Os 0.7926 0.2074 0.7500  5 B 2.10-2.19

(12)
A relaxed BOs crystal, computed with PBE.

Computed properties:
Spin magnetization in μB per cell: 0.000
Total DFT energy (no corrections) in eV/atom: -8.65
Space-group type: Pmmn (59)
Energy of formation from the pure elements in meV per atom: 308
N(E_F) in states/eV per atom: 0.35

Cell: 4.0280 8.8277 3.7423 Å, 90.00 90.00 90.00°
Closest atoms and distances in Å follow each position.
Atoms (fractional coordinates):
B 0.2500 0.0320 0.1582  5 Os 2.13-2.24
B 0.2500 0.4680 0.1582  5 Os 2.13-2.24
B 0.2500 0.7500 0.1661  4 Os 2.04-2.24
B 0.7500 0.2500 0.8339  4 Os 2.04-2.24
B 0.7500 0.5320 0.8418  5 Os 2.13-2.24
B 0.7500 0.9680 0.8418  5 Os 2.13-2.24
Os 0.2500 0.2500 0.9147  4 B 2.04-2.13
Os 0.2500 0.5985 0.6458  6 B 2.16-2.36
Os 0.2500 0.9015 0.6458  6 B 2.16-2.36
Os 0.7500 0.0985 0.3542  6 B 2.16-2.36
Os 0.7500 0.4015 0.3542  6 B 2.16-2.36
Os 0.7500 0.7500 0.0853  4 B 2.04-2.13